[1]
ScGa3W GGA-PBE relaxed; crystal system = cubic; E_tot = -26.73 eV/cell; energy above the lowest structure with this stoichiometry = 0 kJ/mol of formula units; formation energy from the elements = 0.327 eV per atom; space group = Pm-3m
1.0
4.8405 0.0000 0.0000
0.0000 4.8405 0.0000
0.0000 0.0000 4.8405
Ga Sc W
3 1 1
Cartesian
0.0000 2.4203 0.0000 Ga
2.4203 0.0000 0.0000 Ga
0.0000 0.0000 2.4203 Ga
2.4203 2.4203 2.4203 Sc
0.0000 0.0000 0.0000 W


[2]
Mn2BeIr GGA-PBE relaxed; crystal system = tetragonal; E_tot = -59.93 eV/cell; formation energy from the elements = 0.240 eV per atom; space group = I-42d
1.0
-2.3879 -1.3607 -1.8584
-0.9023 -1.9103 2.5581
-7.1519 4.4624 2.9610
Mn Ir Be
4 2 2
Cartesian
-6.6508 2.0079 2.6336 Mn
-8.1898 0.5970 2.6826 Mn
-2.7908 -0.3284 1.9975 Mn
-3.2528 0.1064 0.0078 Mn
-5.5924 0.7331 0.7263 Ir
0.0000 0.0000 0.0000 Ir
-1.6451 -1.6355 0.3499 Be
-4.8496 0.4583 2.9345 Be


[3]
OsSe2Cl12 GGA-PBE relaxed; crystal system = orthorhombic; E_tot = -91.44 eV/cell; formation energy from raw total energies = -0.357 eV per atom; space group = Fdd2
1.0
0.0000 6.5962 10.9439
6.2926 0.0000 10.9439
6.2926 6.5962 0.0000
Cl Se Os
24 4 2
Cartesian
1.8494 5.6834 7.1051 Cl
8.1344 8.8992 16.2136 Cl
8.0525 11.8013 14.5772 Cl
4.9881 7.5913 10.7416 Cl
7.5970 5.6011 10.7416 Cl
4.9957 10.8071 12.5771 Cl
7.5895 2.3853 12.5771 Cl
4.6257 4.7465 5.2970 Cl
4.4685 4.3280 12.9118 Cl
1.6668 1.8497 5.2970 Cl
7.6789 8.5032 9.1052 Cl
7.5843 2.3807 9.2944 Cl
10.8252 7.9873 14.5772 Cl
7.6148 5.5663 7.4398 Cl
4.4432 0.9128 7.1051 Cl
4.9062 4.6892 9.1052 Cl
8.1166 8.8644 12.9118 Cl
1.4795 5.1478 10.7690 Cl
10.7433 10.8894 16.2136 Cl
8.1472 5.6788 14.7664 Cl
4.8131 1.4484 10.7690 Cl
5.0009 10.8117 9.2944 Cl
4.4380 7.5136 14.7664 Cl
4.9703 7.6261 7.4398 Cl
3.1583 6.3966 5.4443 Se
6.2806 3.0985 10.9162 Se
6.3046 10.0939 10.9162 Se
3.1343 0.1996 5.4443 Se
6.2926 6.5962 9.0598 Os
9.4389 9.8943 14.5317 Os


[4]
Ba2LiAl3Zn4 GGA-PBE relaxed; crystal system = tetragonal; E_tot = -24.04 eV/cell; formation energy from the elements = -0.196 eV per atom; space group = P-4m2
1.0
-4.4351 -1.1877 1.0703
1.3040 -0.8611 4.4480
-2.0527 9.9422 2.5264
Zn Al Ba Li
4 3 2 1
Cartesian
0.0000 0.0000 0.0000 Zn
-3.4933 5.5851 2.1053 Zn
-1.5656 -1.0244 2.7591 Zn
-0.1250 3.3327 3.1803 Zn
-4.0124 8.0993 2.7442 Al
-1.0264 4.9711 1.2632 Al
0.3941 0.8185 2.5414 Al
-0.8977 7.0753 4.1313 Ba
-2.7206 1.8425 1.1543 Ba
-2.5919 3.9467 4.0224 Li


Q: E_tot of number 4 (Ba2LiAl3Zn4)?
A: -24.04 eV/cell